ScIn2Au: optimized geometry, PBE-GGA.

```
data_ScIn2Au
_chemical_formula_sum 'Sc3 In6 Au3'
_symmetry_space_group_name_H-M 'R -3 m'
_symmetry_Int_Tables_number 166
_symmetry_space_group_name_Hall '-R 3 2"'
_cell_length_a 3.3820
_cell_length_b 3.3820
_cell_length_c 27.5020
_cell_angle_alpha 90.00
_cell_angle_beta 90.00
_cell_angle_gamma 120.00
loop_
_atom_site_label
_atom_site_type_symbol
_atom_site_fract_x
_atom_site_fract_y
_atom_site_fract_z
_atom_site_occupancy
Sc1 Sc 0.0000 0.0000 0.0000 1
In1 In 0.0000 0.0000 0.2445 1
Au1 Au 0.0000 0.0000 0.5000 1
```

Results
The calculation puts the raw total energy at -3.949 eV/atom. The value obtained for the total moment is 0.08 μB per atom.